Density functional theory data (PBE-GGA) for crystalline Ba5Al3F19 at its relaxed geometry.

extended XYZ file:
```
54
Lattice="-7.413 7.413 3.791 7.413 -7.413 3.791 7.413 7.413 -3.791" Properties=species:S:1:pos:R:3 pbc="T T T"
Ba 3.196 0.827 0.000
Ba 6.586 -4.217 3.791
Ba 7.413 0.000 1.895
Ba 6.172 3.841 0.000
Ba 3.572 -1.241 3.791
Ba 3.841 8.654 0.000
Ba 1.241 3.572 3.791
Ba 0.000 7.413 1.895
Ba 0.827 11.630 0.000
Ba 4.217 6.586 3.791
Al 9.765 2.631 0.000
Al 0.000 0.000 1.922
Al 2.631 5.061 0.000
Al 4.782 2.352 3.791
Al 0.000 0.000 5.660
Al -2.352 4.782 3.791
F 0.000 0.000 0.000
F 4.475 -1.426 1.274
F 5.705 1.126 0.000
F 9.075 3.781 -1.258
F 8.143 1.788 0.000
F 6.722 5.747 -1.954
F 8.839 -2.938 2.516
F 1.666 -0.691 1.837
F 3.781 5.751 -1.258
F 3.514 3.477 0.000
F 3.936 -3.899 3.791
F 10.351 1.426 1.274
F 5.747 8.104 -1.954
F 0.691 1.666 1.837
F 6.287 -1.708 3.791
F 9.075 3.781 1.258
F 3.632 1.662 2.533
F 1.788 6.683 0.000
F 1.426 4.475 1.274
F 0.000 0.000 3.791
F 5.987 2.938 2.516
F 5.625 0.730 3.791
F 3.781 5.751 1.258
F -1.662 3.632 2.533
F 1.126 9.121 0.000
F 6.722 5.747 1.954
F 1.666 -0.691 5.745
F -2.938 5.987 2.516
F 3.477 11.312 0.000
F 3.899 3.936 3.791
F 3.632 1.662 5.049
F 5.747 8.104 1.954
F -1.426 10.351 1.274
F 0.691 1.666 5.745
F -0.730 5.625 3.791
F -1.662 3.632 5.049
F 1.708 6.287 3.791
F 2.938 8.839 2.516
```

Results
Uncorrected formation energy in eV per atom: -3.7749
Crystal system: tetragonal
Energy in Ha/atom: -0.2155